Dy2Al2Ga3 | PBE-GGA | optimized geometry

a b c (Å): 4.1927 7.1783 9.6820
angles (deg): 90.00 102.50 90.00
Atoms (fractional coordinates):
Dy 0.1546 0.2500 0.3092
Dy 0.8454 0.7500 0.6908
Dy 0.9447 0.2500 0.8894
Dy 0.0553 0.7500 0.1106
Al 0.6775 0.9337 0.3550
Al 0.3225 0.0663 0.6450
Al 0.3225 0.4337 0.6450
Al 0.6775 0.5663 0.3550
Ga 0.2273 0.7500 0.4547
Ga 0.7727 0.2500 0.5453
Ga 0.5568 0.4230 0.1136
Ga 0.4432 0.5770 0.8864
Ga 0.4432 0.9230 0.8864
Ga 0.5568 0.0770 0.1136

Output
Energy (eV per atom): -4.164
Distance to the lowest polymorph of the same formula (meV/atom): 0.0
Formation enthalpy at 0 K (eV per atom): -0.483
Crystal system: orthorhombic
Volume (Å³ per atom): 20.32

=====

HoMg2Hg4 | PBE-GGA | optimized geometry

a b c (Å): 4.9144 4.9144 8.6221
angles (deg): 73.44 73.44 60.00
Atoms (fractional coordinates):
Ho 0.0000 0.0000 0.0000
Mg 0.7507 0.7507 0.7479
Mg 0.2493 0.2493 0.2521
Hg 0.8702 0.8702 0.3893
Hg 0.1298 0.1298 0.6107
Hg 0.6149 0.6149 0.1553
Hg 0.3851 0.3851 0.8447

Output
Energy (eV per atom): -1.551
Formation enthalpy at 0 K (eV per atom): -0.269
Crystal system: trigonal
Volume (Å³ per atom): 24.33

=====

AsPtC2 | PBE-GGA | optimized geometry

a b c (Å): 4.7210 4.7210 5.6743
angles (deg): 65.42 65.42 90.00
Atoms (fractional coordinates):
As 0.5000 0.5000 0.0000
As 0.2500 0.7500 0.5000
C 0.6048 0.1250 0.2500
C 0.1452 0.6250 0.2500
C 0.3750 0.3952 0.7500
C 0.8750 0.8548 0.7500
Pt 0.0000 0.0000 0.0000
Pt 0.7500 0.2500 0.5000

Output
Energy (eV per atom): -6.311
Formation enthalpy at 0 K (eV per atom): 0.973
Crystal system: tetragonal
Volume (Å³ per atom): 12.78

=====

Ti4Co3Ni | PBE-GGA | optimized geometry

a b c (Å): 4.2242 4.2242 7.3046
angles (deg): 73.19 73.19 60.00
Site moments in Bohr magnetons follow the coordinates.
Atoms (fractional coordinates):
Ni 0.0000 0.0000 0.0000  -0.22
Co 0.2495 0.2495 0.2516  0.67
Co 0.7505 0.7505 0.7484  0.67
Co 0.5000 0.5000 0.5000  0.64
Ti 0.8745 0.8745 0.3765  -0.08
Ti 0.3756 0.3756 0.8732  -0.14
Ti 0.1255 0.1255 0.6235  -0.08
Ti 0.6244 0.6244 0.1268  -0.14

Output
Energy (eV per atom): -7.717
Formation enthalpy at 0 K (eV per atom): -0.382
Crystal system: trigonal
Volume (Å³ per atom): 13.30

=====

Dy2Ho15Th2 | PBE-GGA | optimized geometry

a b c (Å): 8.6986 8.6986 8.6986
angles (deg): 78.81 78.81 78.81
Atoms (fractional coordinates):
Dy 0.6830 0.6830 0.6830
Dy 0.3170 0.3170 0.3170
Ho 0.0000 0.5000 0.0000
Ho 0.0000 0.0000 0.5000
Ho 0.5000 0.0000 0.0000
Ho 0.3008 0.0000 0.6992
Ho 0.6992 0.3008 0.0000
Ho 0.0000 0.6992 0.3008
Ho 0.3008 0.6992 0.0000
Ho 0.0000 0.3008 0.6992
Ho 0.6992 0.0000 0.3008
Ho 0.3691 0.8535 0.3691
Ho 0.3691 0.3691 0.8535
Ho 0.8535 0.3691 0.3691
Ho 0.6309 0.1465 0.6309
Ho 0.6309 0.6309 0.1465
Ho 0.1465 0.6309 0.6309
Th 0.9117 0.9117 0.9117
Th 0.0883 0.0883 0.0883

Output
Energy (eV per atom): -4.583
Formation enthalpy at 0 K (eV per atom): 0.297
Crystal system: trigonal
Volume (Å³ per atom): 32.89